Record 1
DFT (GGA-PBE) results for a relaxed structure of LaThAl2.

For the energy relative to the lowest polymorph listed for this composition, the calculation gives 0.043 eV/atom. The total energy is -83.19 eV/cell. The calculated formation energy comes out at -242 meV per atom. The value obtained for the total magnetic moment is 0.0000 μB per atom.

```
data_LaThAl2
_chemical_formula_sum 'La4 Th4 Al8'
_symmetry_space_group_name_H-M 'F m -3 m'
_symmetry_Int_Tables_number 225
_symmetry_space_group_name_Hall '-F 4 2 3'
_cell_length_a 7.521
_cell_length_b 7.521
_cell_length_c 7.521
_cell_angle_alpha 90.00
_cell_angle_beta 90.00
_cell_angle_gamma 90.00
loop_
_atom_site_label
_atom_site_fract_x
_atom_site_fract_y
_atom_site_fract_z
La1 0.000 0.000 0.000
Th1 0.000 0.000 0.500
Al1 0.250 0.250 0.250
```

***

Record 2
DFT (GGA-PBE) results for a relaxed structure of Dy8Ga2Si.

The formation energy from raw total energies comes out at -0.33 eV per atom. The total energy is -103.83 eV/cell. The value obtained for the total magnetic moment is 0.0000 μB per atom.

```
data_Dy8Ga2Si
_chemical_formula_sum 'Dy16 Ga4 Si2'
_symmetry_space_group_name_H-M 'C 1 2/m 1'
_symmetry_Int_Tables_number 12
_symmetry_space_group_name_Hall '-C 2y'
_cell_length_a 18.658
_cell_length_b 4.927
_cell_length_c 6.592
_cell_angle_alpha 90.00
_cell_angle_beta 102.52
_cell_angle_gamma 90.00
loop_
_atom_site_label
_atom_site_fract_x
_atom_site_fract_y
_atom_site_fract_z
Dy1 0.027 0.000 0.275
Dy2 0.090 0.500 0.954
Dy3 0.156 0.500 0.480
Dy4 0.212 0.000 0.818
Ga1 0.187 0.000 0.258
Si1 0.000 0.500 0.500
```